# 1
{
  "formula": "NpGe2Se4",
  "functional": "GGA-PBE",
  "state": "optimized geometry",
  "final_energy_ev_per_cell": -37.81,
  "space_group": "I4/m",
  "raw_formation_energy_mev_per_atom": -242.8,
  "lattice": [[-3.8337, 3.8337, 3.3948], [3.8337, -3.8337, 3.3948], [3.8337, 3.8337, -3.3948]],
  "species": ["Np", "Ge", "Ge", "Se", "Se", "Se", "Se"],
  "frac_coords": [[0.0000, 0.0000, 0.0000], [0.2500, 0.7500, 0.5000], [0.7500, 0.2500, 0.5000], [0.1964, 0.3206, 0.5170], [0.3206, 0.8036, 0.1242], [0.6794, 0.1964, 0.8758], [0.8036, 0.6794, 0.4830]]
}


# 2
{
  "formula": "Li2FeHg",
  "functional": "GGA-PBE",
  "state": "optimized geometry",
  "final_energy_ev_per_cell": -11.98,
  "space_group": "P4/mmm",
  "lattice": [[3.2307, 0.0000, 0.0000], [0.0000, 3.2307, 0.0000], [0.0000, 0.0000, 5.9366]],
  "species": ["Li", "Li", "Fe", "Hg"],
  "frac_coords": [[0.0000, 0.0000, 0.2381], [0.0000, 0.0000, 0.7619], [0.5000, 0.5000, 0.0000], [0.5000, 0.5000, 0.5000]]
}


# 3
{
  "formula": "YBiI2O",
  "functional": "GGA-PBE",
  "state": "optimized geometry",
  "final_energy_ev_per_cell": -19.55,
  "de_polymorph_ev_per_atom": 0.8204,
  "space_group": "P4/mmm",
  "raw_formation_energy_mev_per_atom": -229.2,
  "lattice": [[6.3682, 0.0000, 0.0000], [0.0000, 6.3682, 0.0000], [0.0000, 0.0000, 4.2720]],
  "species": ["Y", "Bi", "I", "I", "O"],
  "frac_coords": [[0.0000, 0.0000, 0.0000], [0.5000, 0.5000, 0.5000], [0.0000, 0.5000, 0.5000], [0.5000, 0.0000, 0.5000], [0.5000, 0.5000, 0.0000]]
}


# 4
{
  "formula": "BeBS3",
  "functional": "GGA-PBE",
  "state": "optimized geometry",
  "final_energy_ev_per_cell": -49.63,
  "de_polymorph_ev_per_atom": 0.0000,
  "space_group": "C2/m",
  "raw_formation_energy_mev_per_atom": -405.4,
  "lattice": [[5.6400, -1.6311, 0.0000], [5.6400, 1.6311, 0.0000], [-1.2354, 0.0000, 8.5696]],
  "species": ["Be", "Be", "B", "B", "S", "S", "S", "S", "S", "S"],
  "frac_coords": [[0.1706, 0.1706, 0.1214], [0.8294, 0.8294, 0.8786], [0.4688, 0.4688, 0.2789], [0.5312, 0.5312, 0.7211], [0.0721, 0.0721, 0.5956], [0.3547, 0.3547, 0.0993], [0.3686, 0.3686, 0.7397], [0.6314, 0.6314, 0.2603], [0.6453, 0.6453, 0.9007], [0.9279, 0.9279, 0.4044]]
}


# 5
{
  "formula": "Li2YHf",
  "functional": "GGA-PBE",
  "state": "optimized geometry",
  "final_energy_ev_per_cell": -35.77,
  "de_polymorph_ev_per_atom": 0.5136,
  "space_group": "I-42d",
  "lattice": [[-3.9161, 3.9161, 2.9140], [3.9161, -3.9161, 2.9140], [3.9161, 3.9161, -2.9140]],
  "species": ["Li", "Li", "Li", "Li", "Y", "Y", "Hf", "Hf"],
  "frac_coords": [[0.1170, 0.6250, 0.9920], [0.3750, 0.3670, 0.4920], [0.6330, 0.1250, 0.0080], [0.8750, 0.8830, 0.5080], [0.2500, 0.7500, 0.5000], [0.5000, 0.5000, 0.0000], [0.0000, 0.0000, 0.0000], [0.7500, 0.2500, 0.5000]]
}


# 6
{
  "formula": "Pm3Cd2Si3",
  "functional": "GGA-PBE",
  "state": "optimized geometry",
  "final_energy_ev_per_cell": -34.83,
  "space_group": "Immm",
  "raw_formation_energy_mev_per_atom": -310.2,
  "lattice": [[-2.0009, 2.2449, 10.4687], [2.0009, -2.2449, 10.4687], [2.0009, 2.2449, -10.4687]],
  "species": ["Pm", "Pm", "Pm", "Cd", "Cd", "Si", "Si", "Si"],
  "frac_coords": [[0.0000, 0.0000, 0.0000], [0.3756, 0.8756, 0.5000], [0.6244, 0.1244, 0.5000], [0.2465, 0.2465, 0.0000], [0.7535, 0.7535, 0.0000], [0.1453, 0.6453, 0.5000], [0.5000, 0.5000, 0.0000], [0.8547, 0.3547, 0.5000]]
}


# 7
{
  "formula": "KZr3In",
  "functional": "GGA-PBE",
  "state": "optimized geometry",
  "final_energy_ev_per_cell": -23.68,
  "de_polymorph_ev_per_atom": 0.0000,
  "space_group": "Pm-3m",
  "lattice": [[5.5111, 0.0000, 0.0000], [0.0000, 5.5111, 0.0000], [0.0000, 0.0000, 5.5111]],
  "species": ["K", "Zr", "Zr", "Zr", "In"],
  "frac_coords": [[0.0000, 0.0000, 0.0000], [0.0000, 0.5000, 0.5000], [0.5000, 0.0000, 0.5000], [0.5000, 0.5000, 0.0000], [0.5000, 0.5000, 0.5000]]
}


# 8
{
  "formula": "AlPIr2",
  "functional": "GGA-PBE",
  "state": "optimized geometry",
  "final_energy_ev_per_cell": -27.58,
  "de_polymorph_ev_per_atom": 0.2482,
  "space_group": "I-4m2",
  "lattice": [[-1.7904, 1.7904, 4.3863], [1.7904, -1.7904, 4.3863], [1.7904, 1.7904, -4.3863]],
  "species": ["Al", "P", "Ir", "Ir"],
  "frac_coords": [[0.0000, 0.0000, 0.0000], [0.7500, 0.2500, 0.5000], [0.2500, 0.7500, 0.5000], [0.5000, 0.5000, 0.0000]]
}


# 9
{
  "formula": "Rb2Tl4In3Sn",
  "functional": "GGA-PBE",
  "state": "optimized geometry",
  "final_energy_ev_per_cell": -24.37,
  "space_group": "P-4m2",
  "lattice": [[5.1752, 0.0000, 0.0000], [0.0000, 5.1752, 0.0000], [0.0000, 0.0000, 12.9406]],
  "species": ["Rb", "Rb", "Tl", "Tl", "Tl", "Tl", "In", "In", "In", "Sn"],
  "frac_coords": [[0.0000, 0.5000, 0.2469], [0.5000, 0.0000, 0.7531], [0.0000, 0.0000, 0.5000], [0.0000, 0.5000, 0.8634], [0.5000, 0.0000, 0.1366], [0.5000, 0.5000, 0.5000], [0.0000, 0.0000, 0.0000], [0.0000, 0.5000, 0.6329], [0.5000, 0.0000, 0.3671], [0.5000, 0.5000, 0.0000]]
}


# 10
{
  "formula": "AlVCo",
  "functional": "GGA-PBE",
  "state": "optimized geometry",
  "final_energy_ev_per_cell": -42.42,
  "de_polymorph_ev_per_atom": 0.0000,
  "space_group": "Cmcm",
  "lattice": [[1.4617, -6.3083, 0.0000], [1.4617, 6.3083, 0.0000], [0.0000, 0.0000, 4.0023]],
  "species": ["Al", "Al", "V", "V", "Co", "Co"],
  "frac_coords": [[0.0795, 0.9205, 0.7500], [0.9205, 0.0795, 0.2500], [0.2431, 0.7569, 0.2500], [0.7569, 0.2431, 0.7500], [0.4166, 0.5834, 0.7500], [0.5834, 0.4166, 0.2500]]
}


# 11
{
  "formula": "YCdSe2N",
  "functional": "GGA-PBE",
  "state": "optimized geometry",
  "final_energy_ev_per_cell": -21.85,
  "de_polymorph_ev_per_atom": 0.1254,
  "space_group": "P4/mmm",
  "raw_formation_energy_mev_per_atom": 165.6,
  "lattice": [[5.3061, 0.0000, 0.0000], [0.0000, 5.3061, 0.0000], [0.0000, 0.0000, 4.1403]],
  "species": ["Y", "Cd", "Se", "Se", "N"],
  "frac_coords": [[0.0000, 0.0000, 0.0000], [0.5000, 0.5000, 0.5000], [0.0000, 0.5000, 0.5000], [0.5000, 0.0000, 0.5000], [0.5000, 0.5000, 0.0000]]
}


# 12
{
  "formula": "TbMgN",
  "functional": "GGA-PBE",
  "state": "optimized geometry",
  "final_energy_ev_per_cell": -34.27,
  "space_group": "R-3m",
  "raw_formation_energy_mev_per_atom": -862.4,
  "lattice": [[2.0350, 1.1749, 8.4249], [-2.0350, 1.1749, 8.4249], [0.0000, -2.3498, 8.4249]],
  "species": ["Tb", "Tb", "Mg", "Mg", "N", "N"],
  "frac_coords": [[0.1192, 0.1192, 0.1192], [0.8808, 0.8808, 0.8808], [0.2992, 0.2992, 0.2992], [0.7008, 0.7008, 0.7008], [0.2112, 0.2112, 0.2112], [0.7888, 0.7888, 0.7888]]
}